A plane-wave DFT calculation with PBE-GGA was carried out for a geometry-optimized LaNdDy3 structure.

Structure (POSCAR):
```
LaNdDy3
1.0
6.144 0.065 -2.221
-1.027 11.230 -3.236
-1.250 -2.255 6.009
La Dy Nd
2 6 2
Direct
0.000 0.000 0.000
0.000 0.500 0.000
0.138 0.187 0.832
0.862 0.813 0.168
0.686 0.542 0.387
0.449 0.813 0.333
0.551 0.187 0.667
0.314 0.458 0.613
0.716 0.190 0.248
0.284 0.810 0.752
```

Summary:
Calculated volume ... 33.4 Å³ per atom
DOS(E_F) ... 14.2 states/eV per cell
Offset from the most stable computed form ... 0.0 meV per atom
Formation enthalpy at 0 K ... 0.176 eV per atom

A plane-wave DFT calculation with PBE-GGA was carried out for a geometry-optimized V3ReH structure.

Structure (POSCAR):
```
V3ReH
1.0
3.870 0.000 0.000
0.000 3.870 0.000
0.000 0.000 3.870
V Re H
3 1 1
Direct
0.000 0.500 0.000
0.500 0.000 0.000
0.000 0.000 0.500
0.500 0.500 0.500
0.000 0.000 0.000
```

Summary:
Calculated volume ... 11.6 Å³ per atom
DOS(E_F) ... 6.4 states/eV per cell
Offset from the most stable computed form ... 0.0 meV per atom

A plane-wave DFT calculation with PBE-GGA was carried out for a geometry-optimized Pm4NdAu structure.

Structure (POSCAR):
```
Pm4NdAu
1.0
5.429 0.000 0.000
0.000 6.610 0.000
-2.715 0.000 10.940
Pm Au Nd
8 2 2
Direct
0.473 0.857 0.947
0.742 0.090 0.484
0.258 0.590 0.516
0.930 0.216 0.860
0.335 0.068 0.670
0.527 0.357 0.053
0.665 0.568 0.330
0.070 0.716 0.140
0.608 0.985 0.216
0.392 0.485 0.784
0.867 0.717 0.734
0.133 0.217 0.266
```

Summary:
Calculated volume ... 32.7 Å³ per atom
DOS(E_F) ... 15.5 states/eV per cell
Formation enthalpy at 0 K ... -0.149 eV per atom